! Li3MgPd2 | Alexandria | PBE-GGA | optimized geometry; values from VASP
! Symmetry: No. 25
! Distance to the lowest polymorph of the same formula: 0 meV/atom
! N(E_F): 1.6 states/eV/cell
! Energy of formation: -40.93 kJ per mole of atoms
&SYSTEM
  ibrav = 0, nat = 6, ntyp = 3
/
ATOMIC_SPECIES
Li 6.94 Li.upf
Mg 24.30 Mg.upf
Pd 106.42 Pd.upf
ATOMIC_POSITIONS angstrom
Li 0.000 0.000 0.000
Li 0.000 0.000 2.497
Li 1.459 1.901 6.834
Mg 1.459 1.901 4.106
Pd 0.000 0.000 5.417
Pd 1.459 1.901 1.332
CELL_PARAMETERS angstrom
2.917 0.000 0.000
0.000 3.802 0.000
0.000 0.000 8.231